! GGA-PBE Er6ZnCd5, optimized geometry; values from VASP
! formation energy from the elements: -315 meV per atom
! DOS(E_F): 11.5 states/eV/cell
! V: 25.02 Å³/atom
&SYSTEM
  ibrav = 0, nat = 12, ntyp = 3
/
ATOMIC_SPECIES
Er 167.26 Er.upf
Zn 65.41 Zn.upf
Cd 112.41 Cd.upf
CELL_PARAMETERS angstrom
2.599 -7.817 0.000
2.599 7.817 0.000
0.000 0.000 7.388
ATOMIC_POSITIONS angstrom
Er 0.000 0.000 1.781
Er 0.000 0.000 5.607
Er 2.599 2.545 1.820
Er 2.599 2.545 5.568
Er 2.599 -2.545 1.820
Er 2.599 -2.545 5.568
Zn 2.599 0.000 0.000
Cd 2.599 5.193 3.694
Cd 2.599 5.174 0.000
Cd 2.599 0.000 3.694
Cd 2.599 -5.174 0.000
Cd 2.599 -5.193 3.694